DFT (PBE) results for a relaxed GaMoW3 crystal.

Geometry as CIF:
```
data_GaMoW3
_chemical_formula_sum 'Ga1 Mo1 W3'
_symmetry_space_group_name_H-M 'P 1'
_symmetry_Int_Tables_number 1
_symmetry_space_group_name_Hall 'P 1'
_cell_length_a 4.533
_cell_length_b 4.533
_cell_length_c 4.533
_cell_angle_alpha 90.00
_cell_angle_beta 90.00
_cell_angle_gamma 90.00
loop_
_atom_site_label
_atom_site_type_symbol
_atom_site_fract_x
_atom_site_fract_y
_atom_site_fract_z
_atom_site_occupancy
W1 W 0.500 0.000 0.000 1
W2 W 0.000 0.000 0.500 1
Mo1 Mo 0.500 0.500 0.500 1
W3 W 0.000 0.500 0.000 1
Ga1 Ga 0.000 0.000 0.000 1
```

Output
Space-group type: Pm-3m, No. 221



DFT (PBE) results for a relaxed Zn2GaMoW crystal.

Geometry as CIF:
```
data_Zn2GaMoW
_chemical_formula_sum 'Zn2 Ga1 Mo1 W1'
_symmetry_space_group_name_H-M 'P 1'
_symmetry_Int_Tables_number 1
_symmetry_space_group_name_Hall 'P 1'
_cell_length_a 5.013
_cell_length_b 4.700
_cell_length_c 5.013
_cell_angle_alpha 90.00
_cell_angle_beta 90.00
_cell_angle_gamma 90.00
loop_
_atom_site_label
_atom_site_type_symbol
_atom_site_fract_x
_atom_site_fract_y
_atom_site_fract_z
_atom_site_occupancy
Mo1 Mo 0.000 0.500 0.000 1
W1 W 0.000 0.000 0.000 1
Ga1 Ga 0.500 0.500 0.500 1
Zn1 Zn 0.000 0.000 0.500 1
Zn2 Zn 0.500 0.000 0.000 1
```

Output
Space-group type: P4/mmm, No. 123



DFT (PBE) results for a relaxed Y2GaMo2 crystal.

Geometry as CIF:
```
data_Y2GaMo2
_chemical_formula_sum 'Y4 Ga2 Mo4'
_symmetry_space_group_name_H-M 'P 1'
_symmetry_Int_Tables_number 1
_symmetry_space_group_name_Hall 'P 1'
_cell_length_a 6.963
_cell_length_b 6.963
_cell_length_c 4.510
_cell_angle_alpha 90.00
_cell_angle_beta 90.00
_cell_angle_gamma 90.00
loop_
_atom_site_label
_atom_site_type_symbol
_atom_site_fract_x
_atom_site_fract_y
_atom_site_fract_z
_atom_site_occupancy
Mo1 Mo 0.120 0.380 0.000 1
Y1 Y 0.321 0.179 0.500 1
Ga1 Ga 0.000 0.000 0.000 1
Y2 Y 0.679 0.821 0.500 1
Ga2 Ga 0.500 0.500 0.000 1
Y3 Y 0.179 0.679 0.500 1
Mo2 Mo 0.380 0.880 0.000 1
Mo3 Mo 0.880 0.620 0.000 1
Mo4 Mo 0.620 0.120 0.000 1
Y4 Y 0.821 0.321 0.500 1
```

Output
Space-group type: P4/mbm, No. 127



DFT (PBE) results for a relaxed YGa3Mo crystal.

Geometry as CIF:
```
data_YGa3Mo
_chemical_formula_sum 'Y1 Ga3 Mo1'
_symmetry_space_group_name_H-M 'P 1'
_symmetry_Int_Tables_number 1
_symmetry_space_group_name_Hall 'P 1'
_cell_length_a 4.828
_cell_length_b 4.828
_cell_length_c 4.828
_cell_angle_alpha 90.00
_cell_angle_beta 90.00
_cell_angle_gamma 90.00
loop_
_atom_site_label
_atom_site_type_symbol
_atom_site_fract_x
_atom_site_fract_y
_atom_site_fract_z
_atom_site_occupancy
Y1 Y 0.500 0.500 0.500 1
Ga1 Ga 0.000 0.000 0.500 1
Ga2 Ga 0.000 0.500 0.000 1
Mo1 Mo 0.000 0.000 0.000 1
Ga3 Ga 0.500 0.000 0.000 1
```

Output
Space-group type: Pm-3m, No. 221



DFT (PBE) results for a relaxed YGa2Mo2 crystal.

Geometry as CIF:
```
data_YGa2Mo2
_chemical_formula_sum 'Y1 Ga2 Mo2'
_symmetry_space_group_name_H-M 'P 1'
_symmetry_Int_Tables_number 1
_symmetry_space_group_name_Hall 'P 1'
_cell_length_a 3.883
_cell_length_b 3.883
_cell_length_c 6.693
_cell_angle_alpha 73.14
_cell_angle_beta 73.14
_cell_angle_gamma 90.00
loop_
_atom_site_label
_atom_site_type_symbol
_atom_site_fract_x
_atom_site_fract_y
_atom_site_fract_z
_atom_site_occupancy
Y1 Y 0.000 0.000 0.000 1
Ga1 Ga 0.602 0.602 0.797 1
Ga2 Ga 0.398 0.398 0.203 1
Mo1 Mo 0.250 0.750 0.500 1
Mo2 Mo 0.750 0.250 0.500 1
```

Output
Space-group type: I4/mmm, No. 139



DFT (PBE) results for a relaxed YGa2Mo2 crystal.

Geometry as CIF:
```
data_YGa2Mo2
_chemical_formula_sum 'Y2 Ga4 Mo4'
_symmetry_space_group_name_H-M 'P 1'
_symmetry_Int_Tables_number 1
_symmetry_space_group_name_Hall 'P 1'
_cell_length_a 7.178
_cell_length_b 7.178
_cell_length_c 3.437
_cell_angle_alpha 90.00
_cell_angle_beta 90.00
_cell_angle_gamma 90.00
loop_
_atom_site_label
_atom_site_type_symbol
_atom_site_fract_x
_atom_site_fract_y
_atom_site_fract_z
_atom_site_occupancy
Mo1 Mo 0.170 0.670 0.500 1
Ga1 Ga 0.624 0.124 0.000 1
Mo2 Mo 0.330 0.170 0.500 1
Ga2 Ga 0.376 0.876 0.000 1
Y1 Y 0.000 0.000 0.000 1
Y2 Y 0.500 0.500 0.000 1
Mo3 Mo 0.830 0.330 0.500 1
Ga3 Ga 0.876 0.624 0.000 1
Mo4 Mo 0.670 0.830 0.500 1
Ga4 Ga 0.124 0.376 0.000 1
```

Output
Space-group type: P4/mbm, No. 127



DFT (PBE) results for a relaxed YGa2Mo2 crystal.

Geometry as CIF:
```
data_YGa2Mo2
_chemical_formula_sum 'Y2 Ga4 Mo4'
_symmetry_space_group_name_H-M 'P 1'
_symmetry_Int_Tables_number 1
_symmetry_space_group_name_Hall 'P 1'
_cell_length_a 7.969
_cell_length_b 7.969
_cell_length_c 2.847
_cell_angle_alpha 90.00
_cell_angle_beta 90.00
_cell_angle_gamma 90.00
loop_
_atom_site_label
_atom_site_type_symbol
_atom_site_fract_x
_atom_site_fract_y
_atom_site_fract_z
_atom_site_occupancy
Y1 Y 0.500 0.500 0.000 1
Mo1 Mo 0.112 0.388 0.000 1
Ga1 Ga 0.319 0.181 0.500 1
Mo2 Mo 0.612 0.112 0.000 1
Ga2 Ga 0.819 0.319 0.500 1
Y2 Y 0.000 0.000 0.000 1
Mo3 Mo 0.888 0.612 0.000 1
Ga3 Ga 0.681 0.819 0.500 1
Mo4 Mo 0.388 0.888 0.000 1
Ga4 Ga 0.181 0.681 0.500 1
```

Output
Space-group type: P4/mbm, No. 127



DFT (PBE) results for a relaxed Y3GaMo crystal.

Geometry as CIF:
```
data_Y3GaMo
_chemical_formula_sum 'Y3 Ga1 Mo1'
_symmetry_space_group_name_H-M 'P 1'
_symmetry_Int_Tables_number 1
_symmetry_space_group_name_Hall 'P 1'
_cell_length_a 5.338
_cell_length_b 5.338
_cell_length_c 5.338
_cell_angle_alpha 90.00
_cell_angle_beta 90.00
_cell_angle_gamma 90.00
loop_
_atom_site_label
_atom_site_type_symbol
_atom_site_fract_x
_atom_site_fract_y
_atom_site_fract_z
_atom_site_occupancy
Y1 Y 0.000 0.000 0.500 1
Y2 Y 0.000 0.500 0.000 1
Ga1 Ga 0.500 0.500 0.500 1
Mo1 Mo 0.000 0.000 0.000 1
Y3 Y 0.500 0.000 0.000 1
```

Output
Space-group type: Pm-3m, No. 221



no.,energy of formation (eV per atom),M_tot (μB/f.u.)
1,1.881,0.0
2,1.295,1.6
3,0.036,0.0
4,-0.039,0.0
5,-0.313,0.0
6,-0.093,0.0
7,-0.023,0.1
8,0.456,0.0